1.
Er2TmGa3NiGe2: relaxed, GGA-PBE.

abc: 4.1146 11.9982 6.9326
angles: 90.00 90.00 90.00
Space group Amm2 (No. 38)
One atom of each set of equivalent atoms:
1 Er 0.0000 0.1999 0.0000 (multiplicity 4)
2 Tm 0.0000 0.0000 0.5997 (multiplicity 2)
3 Ga 0.5000 0.0000 0.9698 (multiplicity 2)
4 Ga 0.5000 0.1150 0.3154 (multiplicity 4)
5 Ni 0.0000 0.0000 0.2007 (multiplicity 2)
6 Ge 0.5000 0.1662 0.6998 (multiplicity 4)

crystal system = orthorhombic
raw total energy = -4.877 eV/atom


2.
NaLuSnPd: relaxed, GGA-PBE.

abc: 6.8472 6.8472 6.8472
angles: 90.00 90.00 90.00
Space group F-43m (No. 216)
One atom of each set of equivalent atoms:
1 Na 0.0000 0.0000 0.0000 (multiplicity 4)
2 Lu 0.2500 0.2500 0.2500 (multiplicity 4)
3 Sn 0.2500 0.2500 0.7500 (multiplicity 4)
4 Pd 0.0000 0.0000 0.5000 (multiplicity 4)

crystal system = cubic
raw total energy = -4.285 eV/atom


3.
MgNiBIr: relaxed, GGA-PBE.

abc: 5.7341 5.7341 5.7341
angles: 90.00 90.00 90.00
Space group F-43m (No. 216)
One atom of each set of equivalent atoms:
1 Mg 0.0000 0.0000 0.0000 (multiplicity 4)
2 Ni 0.2500 0.2500 0.7500 (multiplicity 4)
3 B 0.2500 0.2500 0.2500 (multiplicity 4)
4 Ir 0.0000 0.0000 0.5000 (multiplicity 4)

crystal system = cubic
raw total energy = -5.517 eV/atom


4.
GdBeO3: relaxed, GGA-PBE.

abc: 3.5361 3.5361 3.5847
angles: 90.00 90.00 90.00
Space group P4/mmm (No. 123)
One atom of each set of equivalent atoms:
1 Gd 0.0000 0.0000 0.0000 (multiplicity 1)
2 Be 0.5000 0.5000 0.5000 (multiplicity 1)
3 O 0.0000 0.5000 0.5000 (multiplicity 2)
4 O 0.5000 0.5000 0.0000 (multiplicity 1)

crystal system = tetragonal
raw total energy = -7.133 eV/atom


5.
MgBiW: relaxed, GGA-PBE.

abc: 6.6897 6.6897 6.6897
angles: 90.00 90.00 90.00
Space group F-43m (No. 216)
One atom of each set of equivalent atoms:
1 Mg 0.0000 0.0000 0.0000 (multiplicity 4)
2 Bi 0.0000 0.0000 0.5000 (multiplicity 4)
3 W 0.2500 0.2500 0.7500 (multiplicity 4)

crystal system = cubic
raw total energy = -5.143 eV/atom


6.
Dy2CuAg3: relaxed, GGA-PBE.

abc: 3.6894 3.6894 9.1531
angles: 90.00 90.00 90.00
Space group P4mm (No. 99)
One atom of each set of equivalent atoms:
1 Dy 0.0000 0.0000 0.0000 (multiplicity 1)
2 Dy 0.5000 0.5000 0.4853 (multiplicity 1)
3 Cu 0.0000 0.0000 0.3278 (multiplicity 1)
4 Ag 0.0000 0.0000 0.6600 (multiplicity 1)
5 Ag 0.5000 0.5000 0.1688 (multiplicity 1)
6 Ag 0.5000 0.5000 0.8227 (multiplicity 1)

formation energy from the elements = -279 meV per atom
crystal system = tetragonal
raw total energy = -3.844 eV/atom


raw total energy of number 5 (MgBiW)?
-5.143 eV/atom


Among the records above, which one has the highest raw total energy?
Dy2CuAg3


Which formula does entry 5 have?
MgBiW